1.
The following is a PBE-GGA calculation of an optimized crystal structure of MgTlF3, from Alexandria via LeMat-Bulk.

Cell and atoms, written as POSCAR:
```
MgTlF3
1.0
3.6461 0.0000 0.0000
0.0000 3.6461 0.0000
0.0000 0.0000 6.7590
Mg Tl F
1 1 3
direct
0.0000 0.0000 0.0000 Mg
0.5000 0.5000 0.5859 Tl
0.0000 0.5000 0.8840 F
0.5000 0.0000 0.8840 F
0.5000 0.5000 0.2178 F
```

Values from the calculation:
The value obtained for the total energy is -21.63 eV per cell.

2.
The following is a PBE-GGA calculation of an optimized crystal structure of RbSrTa, from Alexandria via LeMat-Bulk.

Cell and atoms, written as POSCAR:
```
RbSrTa
1.0
4.1011 0.0000 0.0000
0.0000 4.1011 0.0000
0.0000 0.0000 14.9735
Rb Sr Ta
2 2 2
direct
0.2500 0.2500 0.2294 Rb
0.7500 0.7500 0.7706 Rb
0.2500 0.7500 0.5000 Sr
0.7500 0.2500 0.5000 Sr
0.2500 0.2500 0.9921 Ta
0.7500 0.7500 0.0079 Ta
```

Values from the calculation:
For the energy above the most stable polymorph in this dataset, the calculation gives 1.051 eV/atom. The value obtained for the formation energy is 1.511 eV per atom.

3.
The following is a PBE-GGA calculation of an optimized crystal structure of Rb3RhI, from Alexandria via LeMat-Bulk.

Cell and atoms, written as POSCAR:
```
Rb3RhI
1.0
6.1757 0.0000 0.0000
0.0000 6.1757 0.0000
0.0000 0.0000 6.1757
Rb Rh I
3 1 1
direct
0.0000 0.0000 0.5000 Rb
0.0000 0.5000 0.0000 Rb
0.5000 0.0000 0.0000 Rb
0.0000 0.0000 0.0000 Rh
0.5000 0.5000 0.5000 I
```

Values from the calculation:
The value obtained for the total energy is -12.13 eV per cell.

What did the second record say?
The following is a PBE-GGA calculation of an optimized crystal structure of RbSrTa, from Alexandria via LeMat-Bulk.

Cell and atoms, written as POSCAR:
```
RbSrTa
1.0
4.1011 0.0000 0.0000
0.0000 4.1011 0.0000
0.0000 0.0000 14.9735
Rb Sr Ta
2 2 2
direct
0.2500 0.2500 0.2294 Rb
0.7500 0.7500 0.7706 Rb
0.2500 0.7500 0.5000 Sr
0.7500 0.2500 0.5000 Sr
0.2500 0.2500 0.9921 Ta
0.7500 0.7500 0.0079 Ta
```

Values from the calculation:
For the energy above the most stable polymorph in this dataset, the calculation gives 1.051 eV/atom. The value obtained for the formation energy is 1.511 eV per atom.

What is the formula in the second record?
RbSrTa